[1]
# PrHo2Mg3Tl2Hg

PrHo2Mg3Tl2Hg after structural relaxation (PBE-GGA, OQMD).

Cell lengths 4.645, 7.603, 7.603 Å; angles 120.92, 90.00, 90.00 degrees
Atoms (fractional coordinates):
Pr 0.000 0.000 0.000
Ho 0.000 0.418 0.838
Ho 0.000 0.838 0.418
Mg 0.500 0.184 0.421
Mg 0.500 0.421 0.184
Mg 0.500 0.661 0.661
Tl 0.500 0.089 0.747
Tl 0.500 0.747 0.089
Hg 0.000 0.432 0.432

DFT total energy: -26.97 eV for the cell shown
Space-group type: Amm2, No. 38
Total magnetic moment: 0.0 μB/f.u.

---

[2]
# NbNi2W

NbNi2W after structural relaxation (PBE-GGA, OQMD).

Cell lengths 4.312, 4.312, 4.312 Å; angles 60.00, 60.00, 60.00 degrees
Atoms (fractional coordinates):
Nb 0.000 0.000 0.000
Ni 0.500 0.500 0.500
Ni 0.750 0.750 0.750
W 0.250 0.250 0.250

DFT total energy: -33.25 eV for the cell shown
Space-group type: F-43m, No. 216
Total magnetic moment: 0.2 μB/f.u.

---

[3]
# SmEr2Ni9

SmEr2Ni9 after structural relaxation (PBE-GGA, OQMD).

Cell lengths 8.572, 8.572, 8.572 Å; angles 33.61, 33.61, 33.61 degrees
Atoms (fractional coordinates):
Sm 0.000 0.000 0.000
Er 0.139 0.139 0.139
Er 0.861 0.861 0.861
Ni 0.082 0.584 0.584
Ni 0.333 0.333 0.333
Ni 0.416 0.416 0.918
Ni 0.416 0.918 0.416
Ni 0.500 0.500 0.500
Ni 0.584 0.082 0.584
Ni 0.584 0.584 0.082
Ni 0.667 0.667 0.667
Ni 0.918 0.416 0.416

DFT total energy: -68.98 eV for the cell shown
Space-group type: R-3m, No. 166
Total magnetic moment: 0.9 μB/f.u.

---

[4]
# NaErO3

NaErO3 after structural relaxation (PBE-GGA, OQMD).

Cell lengths 5.811, 5.811, 5.811 Å; angles 61.27, 61.27, 61.27 degrees
Atoms (fractional coordinates):
Na 0.250 0.250 0.250
Na 0.750 0.750 0.750
Er 0.000 0.000 0.000
Er 0.500 0.500 0.500
O 0.134 0.750 0.366
O 0.250 0.634 0.866
O 0.366 0.134 0.750
O 0.634 0.866 0.250
O 0.750 0.366 0.134
O 0.866 0.250 0.634

DFT total energy: -59.75 eV for the cell shown
Space-group type: R-3c, No. 167
Total magnetic moment: 2.0 μB/f.u.

---

[5]
# ReN2

ReN2 after structural relaxation (PBE-GGA, OQMD).

Cell lengths 3.990, 2.864, 5.059 Å; angles 90.00, 92.64, 90.00 degrees
Atoms (fractional coordinates):
Re 0.000 0.000 0.000
Re 0.431 0.500 0.557
N 0.212 0.000 0.350
N 0.388 0.500 0.966
N 0.656 0.500 0.146
N 0.911 0.500 0.695

DFT total energy: -55.54 eV for the cell shown
Space-group type: Pm, No. 6
Total magnetic moment: 0.0 μB/f.u.

---

[6]
# CuTcSnPt

CuTcSnPt after structural relaxation (PBE-GGA, OQMD).

Cell lengths 4.488, 4.488, 4.488 Å; angles 60.00, 60.00, 60.00 degrees
Atoms (fractional coordinates):
Cu 0.000 0.000 0.000
Tc 0.500 0.500 0.500
Sn 0.750 0.750 0.750
Pt 0.250 0.250 0.250

DFT total energy: -23.67 eV for the cell shown
Space-group type: F-43m, No. 216
Total magnetic moment: 1.0 μB/f.u.

---

[7]
# DyLuHg2

DyLuHg2 after structural relaxation (PBE-GGA, OQMD).

Cell lengths 5.436, 6.783, 6.783 Å; angles 124.97, 90.00, 90.00 degrees
Atoms (fractional coordinates):
Dy 0.250 0.160 0.840
Dy 0.750 0.840 0.160
Lu 0.250 0.600 0.755
Lu 0.750 0.755 0.600
Hg 0.250 0.106 0.272
Hg 0.250 0.669 0.325
Hg 0.750 0.272 0.106
Hg 0.750 0.325 0.669

DFT total energy: -21.78 eV for the cell shown
Space-group type: Ama2, No. 40
Total magnetic moment: 0.0 μB/f.u.

---

[8]
# TbMgTlS3

TbMgTlS3 after structural relaxation (PBE-GGA, OQMD).

Cell lengths 7.422, 7.422, 10.854 Å; angles 90.00, 90.00, 148.01 degrees
Atoms (fractional coordinates):
Tb 0.000 0.000 0.000
Tb 0.000 0.000 0.500
Mg 0.464 0.536 0.750
Mg 0.536 0.464 0.250
Tl 0.251 0.749 0.250
Tl 0.749 0.251 0.750
S 0.061 0.939 0.750
S 0.378 0.622 0.560
S 0.378 0.622 0.940
S 0.622 0.378 0.060
S 0.622 0.378 0.440
S 0.939 0.061 0.250

DFT total energy: -58.50 eV for the cell shown
Space-group type: Cmcm, No. 63
Total magnetic moment: 0.0 μB/f.u.

---

[9]
# SnOs2Au

SnOs2Au after structural relaxation (PBE-GGA, OQMD).

Cell lengths 4.575, 4.575, 4.575 Å; angles 60.00, 60.00, 60.00 degrees
Atoms (fractional coordinates):
Sn 0.000 0.000 0.000
Os 0.500 0.500 0.500
Os 0.750 0.750 0.750
Au 0.250 0.250 0.250

DFT total energy: -26.51 eV for the cell shown
Space-group type: F-43m, No. 216
Total magnetic moment: 0.2 μB/f.u.

---

[10]
# TbNbAl

TbNbAl after structural relaxation (PBE-GGA, OQMD).

Cell lengths 4.776, 4.776, 4.776 Å; angles 60.00, 60.00, 60.00 degrees
Atoms (fractional coordinates):
Tb 0.000 0.000 0.000
Nb 0.750 0.750 0.750
Al 0.500 0.500 0.500

DFT total energy: -16.43 eV for the cell shown
Space-group type: F-43m, No. 216
Total magnetic moment: 2.8 μB/f.u.

---

[11]
# Cu2SiNiS4

Cu2SiNiS4 after structural relaxation (PBE-GGA, OQMD).

Cell lengths 4.804, 6.002, 4.827 Å; angles 90.00, 93.68, 90.00 degrees
Atoms (fractional coordinates):
Cu 0.000 0.000 0.000
Cu 0.500 0.000 0.500
Si 0.000 0.500 0.500
Ni 0.500 0.500 0.000
S 0.253 0.254 0.753
S 0.253 0.746 0.753
S 0.747 0.254 0.247
S 0.747 0.746 0.247

DFT total energy: -36.12 eV for the cell shown
Space-group type: P2/m, No. 10
Total magnetic moment: 0.0 μB/f.u.

---

[12]
# PaBSb

PaBSb after structural relaxation (PBE-GGA, OQMD).

Cell lengths 4.405, 4.405, 4.405 Å; angles 60.00, 60.00, 60.00 degrees
Atoms (fractional coordinates):
Pa 0.000 0.000 0.000
B 0.250 0.250 0.250
Sb 0.500 0.500 0.500

DFT total energy: -19.46 eV for the cell shown
Space-group type: F-43m, No. 216
Total magnetic moment: 0.0 μB/f.u.

---

[13]
# Y2Lu5Ni2Te2

Y2Lu5Ni2Te2 after structural relaxation (PBE-GGA, OQMD).

Cell lengths 9.204, 9.204, 9.204 Å; angles 156.16, 67.48, 117.93 degrees
Atoms (fractional coordinates):
Y 0.132 0.000 0.132
Y 0.868 0.000 0.868
Lu 0.206 0.854 0.353
Lu 0.501 0.854 0.647
Lu 0.516 0.201 0.315
Lu 0.580 0.580 0.000
Lu 0.886 0.201 0.685
Ni 0.275 0.510 0.765
Ni 0.745 0.510 0.235
Te 0.248 0.248 0.000
Te 0.842 0.342 0.500

DFT total energy: -60.38 eV for the cell shown
Space-group type: Imm2, No. 44
Total magnetic moment: 0.0 μB/f.u.

---

[14]
# CsTa3Sn5

CsTa3Sn5 after structural relaxation (PBE-GGA, OQMD).

Cell lengths 5.726, 5.726, 8.968 Å; angles 90.00, 90.00, 120.00 degrees
Atoms (fractional coordinates):
Cs 0.000 0.000 0.000
Ta 0.000 0.500 0.500
Ta 0.500 0.000 0.500
Ta 0.500 0.500 0.500
Sn 0.000 0.000 0.500
Sn 0.333 0.667 0.223
Sn 0.333 0.667 0.777
Sn 0.667 0.333 0.223
Sn 0.667 0.333 0.777

DFT total energy: -56.44 eV for the cell shown
Space-group type: P6/mmm, No. 191
Total magnetic moment: 0.0 μB/f.u.

---

[15]
# ScCd2Te

ScCd2Te after structural relaxation (PBE-GGA, OQMD).

Cell lengths 5.118, 5.118, 5.118 Å; angles 60.00, 60.00, 60.00 degrees
Atoms (fractional coordinates):
Sc 0.000 0.000 0.000
Cd 0.500 0.500 0.500
Cd 0.750 0.750 0.750
Te 0.250 0.250 0.250

DFT total energy: -11.99 eV for the cell shown
Space-group type: F-43m, No. 216
Total magnetic moment: 0.0 μB/f.u.

---

[16]
# HoSb2Pd2

HoSb2Pd2 after structural relaxation (PBE-GGA, OQMD).

Cell lengths 4.488, 4.488, 11.063 Å; angles 90.00, 90.00, 90.00 degrees
Atoms (fractional coordinates):
Ho 0.250 0.250 0.219
Ho 0.750 0.750 0.781
Sb 0.250 0.250 0.869
Sb 0.250 0.750 0.500
Sb 0.750 0.250 0.500
Sb 0.750 0.750 0.131
Pd 0.250 0.250 0.639
Pd 0.250 0.750 0.000
Pd 0.750 0.250 0.000
Pd 0.750 0.750 0.361

DFT total energy: -53.29 eV for the cell shown
Space-group type: P4/nmm, No. 129
Total magnetic moment: 0.0 μB/f.u.

---

[17]
# TmZrHgC

TmZrHgC after structural relaxation (PBE-GGA, OQMD).

Cell lengths 3.434, 3.434, 15.364 Å; angles 90.00, 90.00, 120.00 degrees
Atoms (fractional coordinates):
Tm 0.333 0.667 0.412
Tm 0.667 0.333 0.588
Zr 0.333 0.667 0.080
Zr 0.667 0.333 0.920
Hg 0.333 0.667 0.760
Hg 0.667 0.333 0.240
C 0.000 0.000 0.000
C 0.000 0.000 0.500

DFT total energy: -48.94 eV for the cell shown
Space-group type: P-3m1, No. 164
Total magnetic moment: 0.1 μB/f.u.

---

[18]
# LiTmInAu

LiTmInAu after structural relaxation (PBE-GGA, OQMD).

Cell lengths 4.807, 4.807, 4.807 Å; angles 60.00, 60.00, 60.00 degrees
Atoms (fractional coordinates):
Li 0.000 0.000 0.000
Tm 0.250 0.250 0.250
In 0.750 0.750 0.750
Au 0.500 0.500 0.500

DFT total energy: -14.87 eV for the cell shown
Space-group type: F-43m, No. 216
Total magnetic moment: 0.0 μB/f.u.

---

[19]
# Ba2CoPtS6

Ba2CoPtS6 after structural relaxation (PBE-GGA, OQMD).

Cell lengths 6.766, 6.766, 6.766 Å; angles 60.00, 60.00, 60.00 degrees
Atoms (fractional coordinates):
Ba 0.250 0.250 0.250
Ba 0.750 0.750 0.750
Co 0.000 0.000 0.000
Pt 0.500 0.500 0.500
S 0.246 0.246 0.754
S 0.246 0.754 0.246
S 0.246 0.754 0.754
S 0.754 0.246 0.246
S 0.754 0.246 0.754
S 0.754 0.754 0.246

DFT total energy: -48.91 eV for the cell shown
Space-group type: Fm-3m, No. 225
Total magnetic moment: 2.5 μB/f.u.

---

[20]
# K3Ag2F7

K3Ag2F7 after structural relaxation (PBE-GGA, OQMD).

Cell lengths 10.995, 10.995, 6.055 Å; angles 90.00, 90.00, 147.58 degrees
Atoms (fractional coordinates):
K 0.067 0.933 0.750
K 0.250 0.750 0.750
K 0.433 0.567 0.750
K 0.567 0.433 0.250
K 0.750 0.250 0.250
K 0.933 0.067 0.250
Ag 0.150 0.850 0.250
Ag 0.350 0.650 0.250
Ag 0.650 0.350 0.750
Ag 0.850 0.150 0.750
F 0.048 0.952 0.250
F 0.065 0.375 0.030
F 0.125 0.435 0.530
F 0.250 0.750 0.250
F 0.375 0.065 0.530
F 0.435 0.125 0.030
F 0.452 0.548 0.250
F 0.548 0.452 0.750
F 0.565 0.875 0.970
F 0.625 0.935 0.470
F 0.750 0.250 0.750
F 0.875 0.565 0.470
F 0.935 0.625 0.970
F 0.952 0.048 0.750

DFT total energy: -91.71 eV for the cell shown
Space-group type: Ccce, No. 68